RbBa2AuO4 | PBE | optimized geometry

Cell and atoms, written as POSCAR:
```
RbBa2AuO4
1.0
-3.0499 -1.2931 2.4763
6.0932 -0.8110 3.6271
-1.2612 12.2983 4.8685
Ba O Rb Au
4 8 2 2
Direct
0.6314 0.2628 0.0462 Ba
0.3686 0.7372 0.9538 Ba
0.6314 0.2628 0.4538 Ba
0.3686 0.7372 0.5462 Ba
0.3075 0.6150 0.7500 O
0.0000 0.0000 0.0000 O
0.7546 0.5091 0.5990 O
0.2454 0.4909 0.0990 O
0.6925 0.3850 0.2500 O
0.2454 0.4909 0.4010 O
0.7546 0.5091 0.9010 O
0.0000 0.0000 0.5000 O
0.9196 0.8392 0.2500 Rb
0.0804 0.1608 0.7500 Rb
0.7728 0.5455 0.7500 Au
0.2272 0.4545 0.2500 Au
```

Calculated values
The value obtained for the calculated volume is 375.4 Å³ per cell. The energy relative to the elements, uncorrected is -1508 meV/atom. The space group is Cmcm.